First-principles (PBE-GGA) data for PuHF after structural relaxation, as listed in Alexandria.

Computed properties:
Total magnetization, μB per formula unit: 6.00
ΔE to the lowest computed polymorph, meV/atom: 252
D(E_F), states/eV per cell: 8.09
E, eV/atom: -8.009

a b c (Å): 3.164 3.867 3.867
angles (deg): 120.00 90.00 90.00
Atoms (fractional coordinates):
H 0.167 0.333 0.667
F 0.667 0.667 0.333
Pu 0.166 0.000 0.000